Entry 1:
# CaCuAu2

CaCuAu2 at its PBEsol-relaxed geometry (meta-GGA SCAN, Alexandria via LeMat-Bulk).

**E_form**: -0.556 eV/atom
**Magnetization**: 0.000 μB per atom
**Relative energy among the computed polymorphs**: 0 meV per atom

Cell: 4.4017 4.4017 14.3072 Å, 90.00 90.00 120.00°
Space group R-3m (No. 166, hexagonal axes)
Asymmetric unit:
Ca  0.0000  0.0000  0.0000 (multiplicity 3)
Cu  0.0000  0.0000  0.5000 (multiplicity 3)
Au  0.0000  0.0000  0.2106 (multiplicity 6)

***

Entry 2:
# Hf2ZrCd

Hf2ZrCd at its PBEsol-relaxed geometry (meta-GGA SCAN, Alexandria via LeMat-Bulk).

**E_form**: -0.104 eV/atom
**Magnetization**: 0.000 μB per atom

Cell: 3.1026 3.1026 8.7968 Å, 90.00 90.00 90.00°
Space group P4mm (No. 99)
Asymmetric unit:
Hf  0.0000  0.0000  0.0000 (multiplicity 1)
Hf  0.5000  0.5000  0.2428 (multiplicity 1)
Zr  0.0000  0.0000  0.4955 (multiplicity 1)
Cd  0.5000  0.5000  0.7491 (multiplicity 1)

***

Entry 3:
# Mn2CuPb

Mn2CuPb at its PBEsol-relaxed geometry (meta-GGA SCAN, Alexandria via LeMat-Bulk).

**E_form**: 0.348 eV/atom
**Magnetization**: 1.115 μB per atom

Cell: 6.1373 6.1373 6.1373 Å, 90.00 90.00 90.00°
Space group F-43m (No. 216)
Asymmetric unit:
Mn  0.0000  0.0000  0.0000 (multiplicity 4)
Mn  0.2500  0.2500  0.2500 (multiplicity 4)
Cu  0.2500  0.2500  0.7500 (multiplicity 4)
Pb  0.0000  0.0000  0.5000 (multiplicity 4)

***

no.,N(E_F) (states/eV/atom)
1,0.28
2,0.83
3,0.46